ZrCrF3 | PBE with a Hubbard U | relaxed

Mass density, g/cm³: 4.394
Relative energy among the computed polymorphs, meV per atom: 563
Total DFT energy (no corrections), eV per formula unit: -29.0
Space-group type: No. 221

a b c (Å): 4.2295 4.2295 4.2295
angles (deg): 90.00 90.00 90.00
With the nearest neighbours (Å) after each atom.
Fractional coordinates of all 5 atoms:
Cr: 0.0000 0.0000 0.0000  6 F 2.11
Zr: 0.5000 0.5000 0.5000  12 F 2.99
F: 0.0000 0.5000 0.0000  2 Cr 2.11
F: 0.0000 0.0000 0.5000  2 Cr 2.11
F: 0.5000 0.0000 0.0000  2 Cr 2.11